Entry 1:
DFT (PBE) results for a geometry-optimized PrZnNi structure.

Lattice parameters (Å, degrees): 4.3053 4.3053 7.5351 90.00 90.00 120.00
Positions (direct):
Pr: 0.0000 0.0000 0.0000
Pr: 0.0000 0.0000 0.5000
Zn: 0.3333 0.6667 0.2501
Zn: 0.6667 0.3333 0.7501
Ni: 0.3333 0.6667 0.7493
Ni: 0.6667 0.3333 0.2493

Computed properties:
The value obtained for the total magnetization is 0.000 μB per atom. The space group is P6_3mc. The value obtained for the energy of formation is -352 meV per atom. For the electronic total energy, the calculation gives -4.221 eV/atom.


Entry 2:
DFT (PBE) results for a geometry-optimized PrZnNi structure.

Lattice parameters (Å, degrees): 6.8743 6.8743 4.3031 90.00 90.00 120.00
Positions (direct):
Pr: 0.0000 0.5693 0.0000
Pr: 0.4307 0.4307 0.0000
Pr: 0.5693 0.0000 0.0000
Zn: 0.0000 0.0000 0.0000
Zn: 0.3333 0.6667 0.5000
Zn: 0.6667 0.3333 0.5000
Ni: 0.0000 0.2158 0.5000
Ni: 0.2158 0.0000 0.5000
Ni: 0.7842 0.7842 0.5000

Computed properties:
The value obtained for the total magnetization is 0.002 μB per atom. The space group is P-62m. The value obtained for the energy of formation is -178 meV per atom. For the electronic total energy, the calculation gives -4.047 eV/atom.


Entry 3:
DFT (PBE) results for a geometry-optimized Pr3Zn2Ni4 structure.

Lattice parameters (Å, degrees): 5.4165 5.4165 8.4223 98.40 98.40 45.48
Positions (direct):
Pr: 0.0000 0.0000 0.0000
Pr: 0.3754 0.3754 0.6232
Pr: 0.6246 0.6246 0.3768
Zn: 0.3199 0.3199 0.2176
Zn: 0.6801 0.6801 0.7824
Ni: 0.0838 0.0838 0.6352
Ni: 0.2657 0.2657 0.9169
Ni: 0.7343 0.7343 0.0831
Ni: 0.9162 0.9162 0.3648

Computed properties:
The value obtained for the total magnetization is 0.000 μB per atom. The space group is C2/m. The value obtained for the energy of formation is -359 meV per atom. For the electronic total energy, the calculation gives -4.706 eV/atom.


> What is the formula in the second record?

PrZnNi